Computed, not measured: Fe4OsW at its PBEsol-relaxed geometry at the SCAN level of DFT.

Results
Calculated formation energy, meV/atom: 83.7
Total magnetic moment, μB/cell: 6.38
Crystal system: cubic

a = 4.615 Å, b = 4.615 Å, c = 4.615 Å
α = 60.00°, β = 60.00°, γ = 60.00°
Site moments in Bohr magnetons follow the coordinates.
Fractional coordinates of all 6 atoms:
Fe1 0.375 0.375 0.375  1.78
Fe2 0.375 0.375 0.874  1.78
Fe3 0.375 0.874 0.375  1.78
Fe4 0.874 0.375 0.375  1.78
W1 0.000 0.000 0.000  -0.54
Os1 0.750 0.750 0.750  -0.08